No. 1
{
  "formula": "VCN2O",
  "functional": "GGA+U",
  "state": "optimized geometry",
  "spacegroup": "P4/mmm",
  "lattice": [[-0.4576, -3.2231, 0.0574], [0.3322, 0.0105, 3.2390], [-3.4631, 0.4979, 0.3536]],
  "species": ["O", "N", "C", "V", "N"],
  "fractional_positions": [[0.0000, 0.0000, 0.5000], [0.5000, 0.0000, 0.0000], [0.0000, 0.0000, 0.0000], [0.5000, 0.5000, 0.5000], [0.0000, 0.5000, 0.0000]]
}

---

No. 2
{
  "formula": "VCNO2",
  "functional": "GGA+U",
  "state": "optimized geometry",
  "spacegroup": "P4/mmm",
  "lattice": [[3.6299, 0.0000, 0.0000], [0.0000, 3.6299, 0.0000], [0.0000, 0.0000, 4.0514]],
  "species": ["N", "C", "V", "O", "O"],
  "fractional_positions": [[0.0000, 0.0000, 0.5000], [0.5000, 0.5000, 0.5000], [0.0000, 0.0000, 0.0000], [0.5000, 0.0000, 0.0000], [0.0000, 0.5000, 0.0000]]
}

---

No. 3
{
  "formula": "VCNO2",
  "functional": "GGA+U",
  "state": "optimized geometry",
  "spacegroup": "P4/mmm",
  "lattice": [[3.9935, 0.0000, 0.0000], [0.0000, 3.9935, 0.0000], [0.0000, 0.0000, 2.5932]],
  "species": ["O", "V", "C", "O", "N"],
  "fractional_positions": [[0.0000, 0.5000, 0.0000], [0.5000, 0.5000, 0.5000], [0.0000, 0.0000, 0.0000], [0.5000, 0.0000, 0.0000], [0.0000, 0.0000, 0.5000]]
}

---

No. 4
{
  "formula": "VCN2O",
  "functional": "GGA+U",
  "state": "optimized geometry",
  "spacegroup": "P4/mmm",
  "lattice": [[3.8985, 0.0000, 0.0000], [0.0000, 3.8985, 0.0000], [0.0000, 0.0000, 3.6354]],
  "species": ["V", "N", "N", "C", "O"],
  "fractional_positions": [[0.0000, 0.0000, 0.0000], [0.5000, 0.0000, 0.0000], [0.0000, 0.5000, 0.0000], [0.5000, 0.5000, 0.5000], [0.0000, 0.0000, 0.5000]]
}

---

No. 5
{
  "formula": "WCN2O",
  "functional": "GGA+U",
  "state": "optimized geometry",
  "spacegroup": "P4/mmm",
  "lattice": [[3.4283, 0.0000, 0.0000], [0.0000, 3.4283, 0.0000], [0.0000, 0.0000, 3.3894]],
  "species": ["C", "O", "W", "N", "N"],
  "fractional_positions": [[0.0000, 0.0000, 0.0000], [0.0000, 0.0000, 0.5000], [0.5000, 0.5000, 0.5000], [0.5000, 0.0000, 0.0000], [0.0000, 0.5000, 0.0000]]
}

---

No. 6
{
  "formula": "WCN2O",
  "functional": "GGA+U",
  "state": "optimized geometry",
  "spacegroup": "P4/mmm",
  "lattice": [[4.0144, 0.0000, 0.0000], [0.0000, 4.0144, 0.0000], [0.0000, 0.0000, 3.7957]],
  "species": ["W", "O", "N", "C", "N"],
  "fractional_positions": [[0.0000, 0.0000, 0.0000], [0.0000, 0.0000, 0.5000], [0.0000, 0.5000, 0.0000], [0.5000, 0.5000, 0.5000], [0.5000, 0.0000, 0.0000]]
}

---

Number 1: total DFT energy (no corrections) -6.1255 eV/atom, ρ 4.8 Mg/m³. Number 2: total DFT energy (no corrections) -5.9772 eV/atom, ρ 3.4 Mg/m³. Number 3: total DFT energy (no corrections) -6.4673 eV/atom, ρ 4.4 Mg/m³. Number 4: total DFT energy (no corrections) -5.9093 eV/atom, ρ 3.2 Mg/m³. Number 5: total DFT energy (no corrections) -5.9611 eV/atom, ρ 10.0 Mg/m³. Number 6: total DFT energy (no corrections) -6.1627 eV/atom, ρ 6.5 Mg/m³.